No. 1
Nd5Np3Sb12 after structural relaxation, computed with PBE-GGA.

Cell and atoms, written as POSCAR:
```
Nd5Np3Sb12
1.0
15.684 0.000 0.000
-5.228 14.787 0.000
-5.228 -7.394 12.806
Sb Np Nd
48 12 20
direct
0.742 0.593 0.169
0.758 0.427 0.351
0.331 0.758 0.407
0.573 0.331 0.924
0.169 0.093 0.742
0.407 0.258 0.331
0.758 0.331 0.907
0.649 0.073 0.242
0.258 0.851 0.927
0.924 0.093 0.851
0.242 0.669 0.093
0.851 0.593 0.924
0.573 0.242 0.149
0.831 0.924 0.073
0.093 0.169 0.242
0.331 0.573 0.424
0.076 0.169 0.427
0.851 0.258 0.427
0.742 0.149 0.073
0.907 0.076 0.649
0.669 0.242 0.593
0.427 0.758 0.851
0.831 0.907 0.258
0.424 0.073 0.331
0.576 0.649 0.407
0.924 0.831 0.573
0.073 0.424 0.831
0.351 0.927 0.758
0.149 0.407 0.076
0.576 0.927 0.669
0.593 0.851 0.424
0.093 0.924 0.351
0.242 0.573 0.649
0.076 0.907 0.149
0.424 0.351 0.593
0.907 0.831 0.758
0.427 0.669 0.076
0.258 0.407 0.831
0.073 0.649 0.742
0.351 0.424 0.093
0.149 0.742 0.573
0.593 0.742 0.669
0.649 0.576 0.907
0.927 0.576 0.169
0.927 0.351 0.258
0.169 0.076 0.927
0.669 0.427 0.576
0.407 0.149 0.576
0.375 0.750 0.625
0.750 0.375 0.125
0.875 0.125 0.250
0.625 0.250 0.375
0.125 0.875 0.750
0.125 0.250 0.875
0.250 0.125 0.375
0.750 0.875 0.625
0.625 0.375 0.750
0.250 0.625 0.875
0.375 0.625 0.250
0.875 0.750 0.125
0.000 0.500 0.500
0.750 0.625 0.375
0.375 0.250 0.125
0.500 0.500 0.000
0.875 0.625 0.750
0.000 0.500 0.000
0.000 0.000 0.000
0.500 0.000 0.500
0.250 0.875 0.125
0.875 0.250 0.625
0.500 0.500 0.500
0.500 0.000 0.000
0.250 0.375 0.625
0.750 0.125 0.875
0.125 0.375 0.250
0.000 0.000 0.500
0.125 0.750 0.375
0.625 0.750 0.875
0.375 0.125 0.750
0.625 0.875 0.250
```

Spin magnetization ... 0.572 μB per atom
Raw formation energy ... -16.8 kJ/mol of atoms

=====

No. 2
Nd5NpSb6 after structural relaxation, computed with PBE-GGA.

Cell and atoms, written as POSCAR:
```
Nd5NpSb6
1.0
-0.890 -6.999 3.332
7.157 2.810 -1.327
-2.100 4.561 5.974
Sb Nd Np
6 5 1
direct
0.410 0.082 0.246
0.082 0.410 0.246
0.590 0.918 0.754
0.245 0.245 0.753
0.918 0.590 0.754
0.755 0.755 0.247
0.500 0.500 0.500
0.666 0.334 0.000
0.169 0.831 0.500
0.334 0.666 0.000
0.831 0.169 0.500
0.000 0.000 0.000
```

Spin magnetization ... 0.315 μB per atom
Raw formation energy ... -98.3 kJ/mol of atoms

=====

No. 3
NdNp4Sb5 after structural relaxation, computed with PBE-GGA.

Cell and atoms, written as POSCAR:
```
NdNp4Sb5
1.0
-1.654 -2.263 3.365
-5.258 -0.970 -3.237
7.773 -7.779 -4.261
Sb Np Nd
5 4 1
direct
0.396 0.896 0.793
0.801 0.301 0.602
0.199 0.699 0.398
0.604 0.104 0.207
0.000 0.500 0.000
0.202 0.202 0.404
0.798 0.798 0.596
0.599 0.599 0.198
0.401 0.401 0.802
0.000 0.000 0.000
```

Spin magnetization ... 0.002 μB per atom
Raw formation energy ... -35.2 kJ/mol of atoms

=====

No. 4
NdNp2Sb3 after structural relaxation, computed with PBE-GGA.

Cell and atoms, written as POSCAR:
```
NdNp2Sb3
1.0
4.088 0.000 -1.706
-1.216 5.424 -2.914
0.784 0.643 7.629
Np Sb Nd
2 3 1
direct
0.835 0.335 0.670
0.165 0.665 0.330
0.500 0.500 0.000
0.172 0.172 0.344
0.828 0.828 0.656
0.500 0.000 0.000
```

Spin magnetization ... 1.313 μB per atom
Raw formation energy ... -49.7 kJ/mol of atoms

=====

No. 5
NdSm2NpSb4 after structural relaxation, computed with PBE-GGA.

Cell and atoms, written as POSCAR:
```
NdSm2NpSb4
1.0
-2.469 0.353 -3.703
-4.407 -5.900 2.377
-2.981 6.643 2.621
Nd Sb Np Sm
1 4 1 2
direct
0.000 0.000 0.000
0.500 0.255 0.250
0.000 0.745 0.248
0.000 0.255 0.752
0.500 0.745 0.750
0.500 0.500 0.000
0.500 0.000 0.500
0.000 0.500 0.500
```

Spin magnetization ... 0.486 μB per atom
Raw formation energy ... -89.3 kJ/mol of atoms

=====

No. 6
NdTmNp2Sb4 after structural relaxation, computed with PBE-GGA.

Cell and atoms, written as POSCAR:
```
NdTmNp2Sb4
1.0
-1.193 -1.778 3.851
3.523 -6.486 -1.903
4.947 4.605 3.659
Sb Np Nd Tm
4 2 1 1
direct
0.500 0.743 0.746
0.000 0.256 0.750
0.500 0.257 0.254
0.000 0.744 0.250
0.000 0.500 0.500
0.500 0.000 0.500
0.000 0.000 0.000
0.500 0.500 0.000
```

Spin magnetization ... 0.985 μB per atom
Raw formation energy ... -62.4 kJ/mol of atoms

=====

What is the spin magnetization in the sixth record?
0.985 μB per atom